(1)
Ta3Zn, single point on PBEsol structure, DFT SCAN; SG = R-3m (166)
1.0
-0.112 -1.367 -2.367
5.356 0.354 0.597
-2.616 -3.485 3.191
Ta Zn
3 1
direct
0.500 0.500 0.500
0.000 0.000 0.500
0.000 0.500 0.000
0.500 0.000 0.000

=====

(2)
ZrTaZn2, single point on PBEsol structure, DFT SCAN; SG = I4/mmm (139)
1.0
4.122 0.000 0.000
0.000 4.122 0.000
-2.061 -2.061 3.883
Ta Zn Zr
1 2 1
direct
0.000 0.000 0.000
0.250 0.750 0.500
0.750 0.250 0.500
0.500 0.500 0.000

=====

| no. | formation energy (eV/atom) |
| --- | --- |
| 1 | 0.038 |
| 2 | -0.147 |